# Ce4VO10 PBE with a Hubbard U relaxed
data_Ce4VO10
_chemical_formula_sum 'Ce12 V3 O30'
_cell_length_a 3.8126
_cell_length_b 3.8126
_cell_length_c 45.4581
_cell_angle_alpha 90.00
_cell_angle_beta 90.00
_cell_angle_gamma 120.00
_symmetry_space_group_name_H-M 'R -3 m'
_symmetry_Int_Tables_number 166
_symmetry_space_group_name_Hall '-R 3 2"'
loop_
_atom_site_label
_atom_site_fract_x
_atom_site_fract_y
_atom_site_fract_z
Ce1 0.0000 0.0000 0.1058
Ce2 0.0000 0.0000 0.2981
V1 0.0000 0.0000 0.5000
O1 0.0000 0.0000 0.0529
O2 0.0000 0.0000 0.1566
O3 0.0000 0.0000 0.2452
O4 0.0000 0.0000 0.3509
O5 0.0000 0.0000 0.4569
# - V: 572.2 Å³ per cell
# - Total energy: -8.4282 eV per atom
# - N(E_F): 0.219 states/eV per atom
# - Total magnetization: 1.00 μB per formula unit